(1)
Entry from Alexandria: NaPmY4O8 after structural relaxation (PBE-GGA).

Cell lengths 6.9154, 6.9154, 6.9154 Å; angles 59.42, 59.42, 59.42 degrees
Closest atoms and distances in Å follow each position.
Sites, in units of the cell vectors:
1 Na 0.0000 0.0000 0.0000  4 O 2.37-2.43
2 Pm 0.3737 0.3737 0.3737  6 O 2.30-2.43
3 Y 0.3730 0.3730 0.8847  6 O 2.24-2.40
4 Y 0.3730 0.8847 0.3730  6 O 2.24-2.40
5 Y 0.7513 0.7513 0.7513  4 O 2.21-2.25
6 Y 0.8847 0.3730 0.3730  6 O 2.24-2.40
7 O 0.1389 0.1389 0.5769  2 Y 2.24, 1 Pm 2.30, 1 Na 2.37
8 O 0.1389 0.5769 0.1389  2 Y 2.24, 1 Pm 2.30, 1 Na 2.37
9 O 0.1430 0.1430 0.1430  3 Y 2.25, 1 Na 2.43
10 O 0.1462 0.6226 0.6226  3 Y 2.21-2.38, 1 Pm 2.43
11 O 0.5769 0.1389 0.1389  2 Y 2.24, 1 Pm 2.30, 1 Na 2.37
12 O 0.6188 0.6188 0.6188  4 Y 2.25-2.40
13 O 0.6226 0.1462 0.6226  3 Y 2.21-2.38, 1 Pm 2.43
14 O 0.6226 0.6226 0.1462  3 Y 2.21-2.38, 1 Pm 2.43


(2)
Entry from Alexandria: Na2PmYO4 after structural relaxation (PBE-GGA).

Cell lengths 5.9618, 3.4957, 6.0557 Å; angles 90.00, 109.77, 90.00 degrees
Closest atoms and distances in Å follow each position.
Sites, in units of the cell vectors:
1 Na 0.0000 0.0000 0.0000  6 O 2.55-2.56
2 Na 0.0000 0.5000 0.5000  6 O 2.60-2.61
3 Pm 0.5000 0.0000 0.5000  6 O 2.37-2.38
4 Y 0.5000 0.5000 0.0000  6 O 2.31-2.33
5 O 0.2857 0.5000 0.2551  1 Y 2.31, 2 Pm 2.37, 2 Na 2.56
6 O 0.2873 0.0000 0.7687  2 Y 2.33, 1 Pm 2.38, 3 Na 2.55-2.60
7 O 0.7127 0.0000 0.2313  2 Y 2.33, 1 Pm 2.38, 3 Na 2.55-2.60
8 O 0.7143 0.5000 0.7449  1 Y 2.31, 2 Pm 2.37, 2 Na 2.56


(3)
Entry from Alexandria: Na3Pm2YO6 after structural relaxation (PBE-GGA).

Cell lengths 6.0920, 6.0920, 5.9684 Å; angles 99.77, 99.77, 120.02 degrees
Closest atoms and distances in Å follow each position.
Sites, in units of the cell vectors:
1 Na 0.0000 0.0000 0.0000  6 O 2.57-2.63
2 Na 0.3375 0.6625 0.0000  6 O 2.54-2.66
3 Na 0.6625 0.3375 0.0000  6 O 2.54-2.66
4 Pm 0.1668 0.8332 0.5000  6 O 2.38
5 Pm 0.8332 0.1668 0.5000  6 O 2.38
6 Y 0.5000 0.5000 0.5000  6 O 2.32
7 O 0.1031 0.4287 0.2856  1 Y 2.32, 2 Pm 2.38, 2 Na 2.57
8 O 0.2454 0.2454 0.7135  1 Y 2.32, 2 Pm 2.38, 2 Na 2.54
9 O 0.4287 0.1031 0.2856  1 Y 2.32, 2 Pm 2.38, 2 Na 2.57
10 O 0.5713 0.8969 0.7144  1 Y 2.32, 2 Pm 2.38, 2 Na 2.57
11 O 0.7546 0.7546 0.2865  1 Y 2.32, 2 Pm 2.38, 2 Na 2.54
12 O 0.8969 0.5713 0.7144  1 Y 2.32, 2 Pm 2.38, 2 Na 2.57


(4)
Entry from Alexandria: NaPm2ZnO5 after structural relaxation (PBE-GGA).

Cell lengths 7.4421, 7.4421, 7.4421 Å; angles 126.28, 126.28, 79.44 degrees
Closest atoms and distances in Å follow each position.
Sites, in units of the cell vectors:
1 Na 0.2500 0.2500 0.0000  10 O 2.86-2.95
2 Na 0.7500 0.7500 0.0000  10 O 2.86-2.95
3 Pm 0.1725 0.6725 0.8449  4 O 2.29-2.49
4 Pm 0.3275 0.1725 0.5000  4 O 2.29-2.49
5 Pm 0.6725 0.8275 0.5000  4 O 2.29-2.49
6 Pm 0.8275 0.3275 0.1551  4 O 2.29-2.49
7 Zn 0.2500 0.7500 0.5000  4 O 1.95
8 Zn 0.7500 0.2500 0.5000  4 O 1.95
9 O 0.0000 0.0000 0.0000  4 Pm 2.49
10 O 0.0143 0.2321 0.5000  1 Zn 1.95
11 O 0.2321 0.7321 0.2178  1 Zn 1.95
12 O 0.2679 0.4857 0.5000  1 Zn 1.95
13 O 0.4857 0.9857 0.2178  1 Zn 1.95
14 O 0.5000 0.5000 0.0000  4 Pm 2.49
15 O 0.5143 0.0143 0.7822  1 Zn 1.95
16 O 0.7321 0.5143 0.5000  1 Zn 1.95
17 O 0.7679 0.2679 0.7822  1 Zn 1.95
18 O 0.9857 0.7679 0.5000  1 Zn 1.95


(5)
Entry from Alexandria: Na2PmZnO4 after structural relaxation (PBE-GGA).

Cell lengths 5.8926, 5.8926, 11.7490 Å; angles 90.00, 90.00, 147.50 degrees
Closest atoms and distances in Å follow each position.
Sites, in units of the cell vectors:
1 Na 0.1382 0.8618 0.5412  3 O 2.29-2.32
2 Na 0.1382 0.8618 0.9588  3 O 2.29-2.32
3 Na 0.8618 0.1382 0.0412  3 O 2.29-2.32
4 Na 0.8618 0.1382 0.4588  3 O 2.29-2.32
5 Pm 0.3855 0.6145 0.7500  6 O 2.40-2.48
6 Pm 0.6145 0.3855 0.2500  6 O 2.40-2.48
7 Zn 0.3481 0.6519 0.2500  4 O 1.99-2.02
8 Zn 0.6519 0.3481 0.7500  4 O 1.99-2.02
9 O 0.0491 0.9509 0.7500  2 Zn 2.02
10 O 0.2161 0.7839 0.1386  1 Zn 1.99
11 O 0.2161 0.7839 0.3614  1 Zn 1.99
12 O 0.5000 0.5000 0.0000  4 Na 2.32
13 O 0.5000 0.5000 0.5000  4 Na 2.32
14 O 0.7839 0.2161 0.6386  1 Zn 1.99
15 O 0.7839 0.2161 0.8614  1 Zn 1.99
16 O 0.9509 0.0491 0.2500  2 Zn 2.02


(6)
Entry from Alexandria: Na4Pm3ZrO8 after structural relaxation (PBE-GGA).

Cell lengths 6.9321, 6.9321, 6.9321 Å; angles 59.97, 59.97, 59.97 degrees
Closest atoms and distances in Å follow each position.
Sites, in units of the cell vectors:
1 Na 0.0000 0.0000 0.0000  6 O 2.71
2 Na 0.0000 0.5000 0.5000  6 O 2.51-2.52
3 Na 0.5000 0.0000 0.5000  6 O 2.51-2.52
4 Na 0.5000 0.5000 0.0000  6 O 2.51-2.52
5 Pm 0.0000 0.0000 0.5000  6 O 2.39-2.41
6 Pm 0.0000 0.5000 0.0000  6 O 2.39-2.41
7 Pm 0.5000 0.0000 0.0000  6 O 2.39-2.41
8 Zr 0.5000 0.5000 0.5000  6 O 2.19
9 O 0.2437 0.2437 0.2437  3 Pm 2.39, 3 Na 2.51
10 O 0.2654 0.7231 0.7231  1 Zr 2.19, 2 Pm 2.41
11 O 0.2769 0.2769 0.7346  1 Zr 2.19, 2 Pm 2.41
12 O 0.2769 0.7346 0.2769  1 Zr 2.19, 2 Pm 2.41
13 O 0.7231 0.2654 0.7231  1 Zr 2.19, 2 Pm 2.41
14 O 0.7231 0.7231 0.2654  1 Zr 2.19, 2 Pm 2.41
15 O 0.7346 0.2769 0.2769  1 Zr 2.19, 2 Pm 2.41
16 O 0.7563 0.7563 0.7563  3 Pm 2.39, 3 Na 2.51


(7)
Entry from Alexandria: Na3Pm2ZrO6 after structural relaxation (PBE-GGA).

Cell lengths 5.9491, 5.9491, 5.9991 Å; angles 99.39, 99.39, 120.09 degrees
Closest atoms and distances in Å follow each position.
Sites, in units of the cell vectors:
1 Na 0.0000 0.0000 0.0000  6 O 2.49-2.67
2 Na 0.3420 0.6580 0.0000  6 O 2.45-2.74
3 Na 0.6580 0.3420 0.0000  6 O 2.45-2.74
4 Pm 0.1675 0.8325 0.5000  6 O 2.40-2.41
5 Pm 0.8325 0.1675 0.5000  6 O 2.40-2.41
6 Zr 0.5000 0.5000 0.5000  6 O 2.20-2.21
7 O 0.1205 0.4267 0.2814  1 Zr 2.21, 2 Pm 2.40-2.41
8 O 0.2626 0.2626 0.7144  1 Zr 2.20, 2 Pm 2.40, 2 Na 2.45
9 O 0.4267 0.1205 0.2814  1 Zr 2.21, 2 Pm 2.40-2.41
10 O 0.5733 0.8795 0.7186  1 Zr 2.21, 2 Pm 2.40-2.41
11 O 0.7374 0.7374 0.2856  1 Zr 2.20, 2 Pm 2.40, 2 Na 2.45
12 O 0.8795 0.5733 0.7186  1 Zr 2.21, 2 Pm 2.40-2.41


(8)
Entry from Alexandria: NaPrO after structural relaxation (PBE-GGA).

Cell lengths 3.9989, 3.9989, 12.6626 Å; angles 99.20, 99.20, 59.95 degrees
Closest atoms and distances in Å follow each position.
Sites, in units of the cell vectors:
1 Na 0.1260 0.1260 0.3780  9 Na 3.81-4.00, 3 Pr 3.95-3.96
2 Na 0.8740 0.8740 0.6220  9 Na 3.81-4.00, 3 Pr 3.95-3.96
3 Pr 0.3743 0.3743 0.1201  4 O 2.38-2.42
4 Pr 0.6257 0.6257 0.8799  4 O 2.38-2.42
5 O 0.3085 0.3085 0.9260  4 Pr 2.38-2.42
6 O 0.6915 0.6915 0.0740  4 Pr 2.38-2.42


(9)
Entry from Alexandria: Na2PrO3 after structural relaxation (PBE-GGA).

Cell lengths 6.0811, 6.0811, 6.0811 Å; angles 145.59, 133.88, 58.79 degrees
Closest atoms and distances in Å follow each position.
Sites, in units of the cell vectors:
1 Na 0.1733 0.1733 0.0000  6 O 2.39-2.60
2 Na 0.8267 0.8267 0.0000  6 O 2.39-2.60
3 Pr 0.5000 0.5000 0.0000  6 O 2.38-2.40
4 O 0.0000 0.5000 0.5000  2 Pr 2.38, 4 Na 2.57
5 O 0.3500 0.8500 0.5000  4 Na 2.39-2.60, 2 Pr 2.40
6 O 0.6500 0.1500 0.5000  4 Na 2.39-2.60, 2 Pr 2.40


(10)
Entry from Alexandria: Na5PrO4 after structural relaxation (PBE-GGA).

Cell lengths 7.5872, 7.5872, 7.5872 Å; angles 151.99, 129.35, 58.87 degrees
Closest atoms and distances in Å follow each position.
Sites, in units of the cell vectors:
1 Na 0.0000 0.0000 0.0000  4 O 2.47
2 Na 0.0902 0.3252 0.7650  4 O 2.31-2.48
3 Na 0.4398 0.6748 0.7650  4 O 2.31-2.48
4 Na 0.5602 0.3252 0.2350  4 O 2.31-2.48
5 Na 0.9098 0.6748 0.2350  4 O 2.31-2.48
6 Pr 0.5000 0.0000 0.5000  6 O 2.43-2.51
7 O 0.2543 0.5000 0.7543  4 Na 2.31-2.47, 2 Pr 2.43
8 O 0.3099 0.8099 0.5000  6 Na 2.40-2.48, 1 Pr 2.51
9 O 0.6901 0.1901 0.5000  6 Na 2.40-2.48, 1 Pr 2.51
10 O 0.7457 0.5000 0.2457  4 Na 2.31-2.47, 2 Pr 2.43


(11)
Entry from Alexandria: Na2PrO3 after structural relaxation (PBE-GGA).

Cell lengths 6.1938, 6.1938, 11.4739 Å; angles 95.21, 95.21, 120.02 degrees
Closest atoms and distances in Å follow each position.
Sites, in units of the cell vectors:
1 Na 0.0000 0.5000 0.5000  6 O 2.44-2.63
2 Na 0.0844 0.9156 0.7500  6 O 2.56-2.58
3 Na 0.1581 0.3144 0.9997  6 O 2.51-2.65
4 Na 0.3144 0.1581 0.4997  6 O 2.51-2.65
5 Na 0.5000 0.0000 0.0000  6 O 2.44-2.63
6 Na 0.6856 0.8419 0.5003  6 O 2.51-2.65
7 Na 0.8419 0.6856 0.0003  6 O 2.51-2.65
8 Na 0.9156 0.0844 0.2500  6 O 2.56-2.58
9 Pr 0.2485 0.7515 0.2500  6 O 2.38-2.39
10 Pr 0.4173 0.5827 0.7500  6 O 2.37-2.40
11 Pr 0.5827 0.4173 0.2500  6 O 2.37-2.40
12 Pr 0.7515 0.2485 0.7500  6 O 2.38-2.39
13 O 0.0434 0.2329 0.6326  2 Pr 2.38-2.40, 4 Na 2.44-2.58
14 O 0.1246 0.5984 0.8655  2 Pr 2.38-2.39, 4 Na 2.51-2.65
15 O 0.2329 0.0434 0.1326  2 Pr 2.38-2.40, 4 Na 2.44-2.58
16 O 0.3125 0.4794 0.3648  2 Pr 2.37-2.39, 4 Na 2.51-2.63
17 O 0.4016 0.8754 0.6345  2 Pr 2.38-2.39, 4 Na 2.51-2.65
18 O 0.4794 0.3125 0.8648  2 Pr 2.37-2.39, 4 Na 2.51-2.63
19 O 0.5206 0.6875 0.1352  2 Pr 2.37-2.39, 4 Na 2.51-2.63
20 O 0.5984 0.1246 0.3655  2 Pr 2.38-2.39, 4 Na 2.51-2.65
21 O 0.6875 0.5206 0.6352  2 Pr 2.37-2.39, 4 Na 2.51-2.63
22 O 0.7671 0.9566 0.8674  2 Pr 2.38-2.40, 4 Na 2.44-2.58
23 O 0.8754 0.4016 0.1345  2 Pr 2.38-2.39, 4 Na 2.51-2.65
24 O 0.9566 0.7671 0.3674  2 Pr 2.38-2.40, 4 Na 2.44-2.58


(12)
Entry from Alexandria: NaPrO after structural relaxation (PBE-GGA).

Cell lengths 3.9345, 3.9345, 6.7312 Å; angles 90.00, 90.00, 120.00 degrees
Closest atoms and distances in Å follow each position.
Sites, in units of the cell vectors:
1 Na 0.0000 0.0000 0.0000  6 O 3.90-4.22, 6 Pr 3.93-4.20, 6 Na 3.93
2 Pr 0.6667 0.3333 0.4758  3 O 2.30
3 O 0.3333 0.6667 0.5288  3 Pr 2.30


no.,formation energy (no corrections) (eV/atom)
1,-3.21
2,-2.71
3,-2.69
4,-2.32
5,-1.76
6,-2.57
7,-2.55
8,-1.74
9,-1.97
10,-1.73
11,-1.96
12,-1.57